Below is a geometry-optimized La3Te2Pt structure, with properties calculated at the GGA-PBE level.

Cell and atoms, written as POSCAR:
```
La3Te2Pt
1.0
-2.266 2.266 9.424
2.266 -2.266 9.424
2.266 2.266 -9.424
La Te Pt
3 2 1
Direct
0.000 0.000 0.000
0.350 0.350 0.000
0.650 0.650 0.000
0.174 0.174 0.000
0.826 0.826 0.000
0.500 0.500 0.000
```

## Properties
- uncorrected energy (Ry per atom) = -0.435
- energy relative to the elements, uncorrected (eV per formula unit) = -8.4